No. 1
# CaReRh

A relaxed CaReRh crystal (PBE, the Alexandria database).

- ΔE to the lowest computed polymorph: 596 meV/atom
- Magnetic moment: 0.00 μB/atom
- ΔE_f: 0.516 eV per atom

POSCAR file:
```
CaReRh
1.0
-2.4355 1.4192 -0.8115
0.2292 -2.8908 -0.4418
-2.8398 -1.2056 6.4143
Re Ca Rh
1 1 1
Direct
0.6667 0.3333 0.3603
0.0000 0.0000 0.9957
0.3333 0.6667 0.6440
```

No. 2
# CaReRh

A relaxed CaReRh crystal (PBE, the Alexandria database).

- ΔE to the lowest computed polymorph: 1799 meV/atom
- Magnetic moment: 1.08 μB/atom
- ΔE_f: 1.718 eV per atom

POSCAR file:
```
CaReRh
1.0
4.5126 0.0000 0.0000
2.2563 3.9080 0.0000
2.2563 1.3027 3.6845
Re Ca Rh
1 1 1
Direct
0.0000 0.0000 0.0000
0.7500 0.7500 0.7500
0.5000 0.5000 0.5000
```

No. 3
# CaReRh

A relaxed CaReRh crystal (PBE, the Alexandria database).

- ΔE to the lowest computed polymorph: 530 meV/atom
- Magnetic moment: 0.00 μB/atom
- ΔE_f: 0.449 eV per atom

POSCAR file:
```
CaReRh
1.0
4.6960 0.0000 0.0000
-2.3480 4.0668 0.0000
0.0000 0.0000 2.7877
Re Ca Rh
1 1 1
Direct
0.6667 0.3333 0.4996
0.0000 0.0000 0.0003
0.3333 0.6667 0.5001
```

No. 4
# CaReRh

A relaxed CaReRh crystal (PBE, the Alexandria database).

- ΔE to the lowest computed polymorph: 54 meV/atom
- Magnetic moment: 0.00 μB/atom
- ΔE_f: -0.026 eV per atom

POSCAR file:
```
CaReRh
1.0
-3.5067 1.5336 2.0787
-1.7632 -3.2823 4.0041
4.9657 1.6933 2.5671
Re Ca Rh
2 2 2
Direct
0.9931 0.2684 0.2752
0.8212 0.7310 0.3939
0.6638 0.3166 0.6645
0.1505 0.6829 0.0045
0.4785 0.1008 0.0785
0.3358 0.8987 0.5907
```

No. 5
# CaReRh

A relaxed CaReRh crystal (PBE, the Alexandria database).

- ΔE to the lowest computed polymorph: 214 meV/atom
- Magnetic moment: 0.00 μB/atom
- ΔE_f: 0.133 eV per atom

POSCAR file:
```
CaReRh
1.0
-2.5504 4.4699 -0.0714
-2.5785 -4.8107 0.2762
-3.6674 2.2341 4.6028
Re Ca Rh
2 2 2
Direct
0.1157 0.3096 0.2467
0.6587 0.5809 0.7037
0.7082 0.1057 0.9750
0.0661 0.7847 0.9755
0.3870 0.1951 0.4753
0.3873 0.6954 0.4752
```

No. 6
# CaReRh

A relaxed CaReRh crystal (PBE, the Alexandria database).

- ΔE to the lowest computed polymorph: 790 meV/atom
- Magnetic moment: 0.00 μB/atom
- ΔE_f: 0.709 eV per atom

POSCAR file:
```
CaReRh
1.0
0.0000 3.1336 3.1336
3.1336 0.0000 3.1336
3.1336 3.1336 0.0000
Re Ca Rh
1 1 1
Direct
0.2500 0.2500 0.2500
0.7500 0.7500 0.7500
0.5000 0.5000 0.5000
```

No. 7
# CaReRh

A relaxed CaReRh crystal (PBE, the Alexandria database).

- ΔE to the lowest computed polymorph: 294 meV/atom
- Magnetic moment: 0.00 μB/atom
- ΔE_f: 0.213 eV per atom

POSCAR file:
```
CaReRh
1.0
8.1027 -0.0071 -0.0465
-1.4530 4.6382 -0.0009
-0.7591 -0.2374 3.4060
Re Ca Rh
2 2 2
Direct
0.8104 0.3089 0.8378
0.0239 0.4158 0.4461
0.6773 0.7423 0.2698
0.1570 0.9824 0.0139
0.3427 0.5752 0.5603
0.4916 0.1497 0.7233
```

No. 8
# CaReRh

A relaxed CaReRh crystal (PBE, the Alexandria database).

- ΔE to the lowest computed polymorph: 263 meV/atom
- Magnetic moment: 0.00 μB/atom
- ΔE_f: 0.182 eV per atom

POSCAR file:
```
CaReRh
1.0
6.3976 -0.0109 0.0063
-1.4732 4.8002 0.0188
0.0006 1.7711 3.7392
Re Ca Rh
2 2 2
Direct
0.1554 0.1510 0.7891
0.3461 0.3792 0.1750
0.6075 0.0949 0.8169
0.8150 0.7860 0.4717
0.9816 0.4848 0.1222
0.2687 0.7756 0.4763
```

No. 9
# CaReRh

A relaxed CaReRh crystal (PBE, the Alexandria database).

- ΔE to the lowest computed polymorph: 442 meV/atom
- Magnetic moment: 0.00 μB/atom
- ΔE_f: 0.362 eV per atom

POSCAR file:
```
CaReRh
1.0
3.5874 -2.0712 0.0000
0.0000 4.1423 0.0000
0.0000 0.0000 9.2875
Re Ca Rh
2 2 2
Direct
0.3333 0.6667 0.2500
0.6667 0.3333 0.7500
0.0000 0.0000 0.0000
0.0000 0.0000 0.5000
0.3333 0.6667 0.7500
0.6667 0.3333 0.2500
```

No. 10
# CaRe4Rh

A relaxed CaRe4Rh crystal (PBE, the Alexandria database).

- Magnetic moment: 0.00 μB/atom
- ΔE_f: 0.404 eV per atom

POSCAR file:
```
CaRe4Rh
1.0
0.0000 3.7242 3.7242
3.7242 0.0000 3.7242
3.7242 3.7242 0.0000
Ca Re Rh
1 4 1
Direct
0.0000 0.0000 0.0000
0.8750 0.3750 0.3750
0.3750 0.3750 0.8750
0.3750 0.8750 0.3750
0.3750 0.3750 0.3750
0.7500 0.7500 0.7500
```

No. 11
# CaReRh

A relaxed CaReRh crystal (PBE, the Alexandria database).

- ΔE to the lowest computed polymorph: 314 meV/atom
- Magnetic moment: 0.00 μB/atom
- ΔE_f: 0.234 eV per atom

POSCAR file:
```
CaReRh
1.0
-5.8687 -0.2462 0.3312
-3.6247 -3.6666 2.8338
4.4511 3.8448 -0.1347
Re Ca Rh
1 1 1
Direct
0.2920 0.2920 0.0000
0.0011 0.0011 0.0000
0.7069 0.7069 0.0000
```

No. 12
# CaReRh

A relaxed CaReRh crystal (PBE, the Alexandria database).

- ΔE to the lowest computed polymorph: 308 meV/atom
- Magnetic moment: 0.00 μB/atom
- ΔE_f: 0.227 eV per atom

POSCAR file:
```
CaReRh
1.0
-3.5707 -3.3741 0.8447
2.8466 -2.3692 2.5699
-3.0563 5.3064 8.2773
Re Ca Rh
4 4 4
Direct
0.0916 0.2500 0.8142
0.4084 0.7500 0.3142
0.9084 0.7500 0.1858
0.5916 0.2500 0.6858
0.9003 0.2500 0.3737
0.5997 0.7500 0.8737
0.0997 0.7500 0.6263
0.4003 0.2500 0.1263
0.4028 0.2500 0.4453
0.0972 0.7500 0.9453
0.5972 0.7500 0.5547
0.9028 0.2500 0.0547
```

No. 13
# CaReRh

A relaxed CaReRh crystal (PBE, the Alexandria database).

- ΔE to the lowest computed polymorph: 218 meV/atom
- Magnetic moment: 0.00 μB/atom
- ΔE_f: 0.137 eV per atom

POSCAR file:
```
CaReRh
1.0
7.3437 0.0000 0.0000
0.0000 4.4189 0.0000
0.0000 0.0000 7.2302
Re Ca Rh
4 4 4
Direct
0.8436 0.2500 0.4142
0.6564 0.7500 0.9142
0.1564 0.7500 0.5858
0.3436 0.2500 0.0858
0.9951 0.2500 0.8270
0.5049 0.7500 0.3270
0.0049 0.7500 0.1730
0.4951 0.2500 0.6730
0.1796 0.2500 0.4007
0.3204 0.7500 0.9007
0.8204 0.7500 0.5993
0.6796 0.2500 0.0993
```

No. 14
# Ca4ReRh

A relaxed Ca4ReRh crystal (PBE, the Alexandria database).

- Magnetic moment: 0.38 μB/atom
- ΔE_f: 1.224 eV per atom

POSCAR file:
```
Ca4ReRh
1.0
0.9019 -0.0963 5.8945
-4.0088 -2.5732 3.5884
1.3076 -5.1370 2.7331
Ca Re Rh
4 1 1
Direct
0.3753 0.8741 0.3753
0.8741 0.3753 0.3753
0.3753 0.3753 0.8741
0.3753 0.3753 0.3753
0.7500 0.7500 0.7500
0.0000 0.0000 0.0000
```